# YAsAuBr2 (PBE, relaxed)
data_YAsAuBr2
_chemical_formula_sum 'Y1 As1 Au1 Br2'
_cell_length_a 5.406
_cell_length_b 5.406
_cell_length_c 5.976
_cell_angle_alpha 90.00
_cell_angle_beta 90.00
_cell_angle_gamma 90.00
_symmetry_space_group_name_H-M 'P 4/m m m'
_symmetry_Int_Tables_number 123
_symmetry_space_group_name_Hall '-P 4 2'
loop_
_atom_site_label
_atom_site_type_symbol
_atom_site_fract_x
_atom_site_fract_y
_atom_site_fract_z
Y1 Y 0.000 0.000 0.000
As1 As 0.000 0.000 0.500
Au1 Au 0.500 0.500 0.500
Br1 Br 0.000 0.500 0.000
# Magnetization = 1.1 μB per formula unit
# ΔE_f (raw) = -303 meV/atom
# Excess energy over the best structure of this formula in the dataset = 0.0000 eV per atom

# Sr2CaCu (PBE, relaxed)
data_Sr2CaCu
_chemical_formula_sum 'Sr4 Ca2 Cu2'
_cell_length_a 5.242
_cell_length_b 5.242
_cell_length_c 10.807
_cell_angle_alpha 90.00
_cell_angle_beta 90.00
_cell_angle_gamma 90.00
_symmetry_space_group_name_H-M 'I 4/m m m'
_symmetry_Int_Tables_number 139
_symmetry_space_group_name_Hall '-I 4 2'
loop_
_atom_site_label
_atom_site_type_symbol
_atom_site_fract_x
_atom_site_fract_y
_atom_site_fract_z
Sr1 Sr 0.000 0.500 0.250
Ca1 Ca 0.000 0.000 0.000
Cu1 Cu 0.000 0.000 0.500
# DFT formation energy = 0.256 eV per atom
# Magnetization = 0.0 μB per formula unit
# Excess energy over the best structure of this formula in the dataset = 0.2803 eV per atom

# Li2LaPm2Ga2 (PBE, relaxed)
data_Li2LaPm2Ga2
_chemical_formula_sum 'Li6 La3 Pm6 Ga6'
_cell_length_a 4.7427
_cell_length_b 4.7427
_cell_length_c 26.8508
_cell_angle_alpha 90.00
_cell_angle_beta 90.00
_cell_angle_gamma 120.00
_symmetry_space_group_name_H-M 'R -3 m'
_symmetry_Int_Tables_number 166
_symmetry_space_group_name_Hall '-R 3 2"'
loop_
_atom_site_label
_atom_site_type_symbol
_atom_site_fract_x
_atom_site_fract_y
_atom_site_fract_z
Li1 Li 0.0000 0.0000 0.0983
La1 La 0.0000 0.0000 0.5000
Pm1 Pm 0.0000 0.0000 0.3726
Ga1 Ga 0.0000 0.0000 0.2413
# DFT formation energy = -0.297 eV per atom
# Magnetization = 0.0 μB per formula unit

> Look up the magnetization of the third one.

0.0 μB per formula unit

Copy entry 2 word for word.
# Sr2CaCu (PBE, relaxed)
data_Sr2CaCu
_chemical_formula_sum 'Sr4 Ca2 Cu2'
_cell_length_a 5.242
_cell_length_b 5.242
_cell_length_c 10.807
_cell_angle_alpha 90.00
_cell_angle_beta 90.00
_cell_angle_gamma 90.00
_symmetry_space_group_name_H-M 'I 4/m m m'
_symmetry_Int_Tables_number 139
_symmetry_space_group_name_Hall '-I 4 2'
loop_
_atom_site_label
_atom_site_type_symbol
_atom_site_fract_x
_atom_site_fract_y
_atom_site_fract_z
Sr1 Sr 0.000 0.500 0.250
Ca1 Ca 0.000 0.000 0.000
Cu1 Cu 0.000 0.000 0.500
# DFT formation energy = 0.256 eV per atom
# Magnetization = 0.0 μB per formula unit
# Excess energy over the best structure of this formula in the dataset = 0.2803 eV per atom